Record 1
A plane-wave DFT calculation with PBE was carried out for PaReH5 after structural relaxation.

## Properties
- Space-group type: Immm, No. 71
- Crystal system: orthorhombic
- DOS at the Fermi energy: 1.48 states/eV/f.u.
- Total magnetic moment: 0.00 μB/cell
- Total DFT energy (no corrections): -40.10 eV for the cell shown

a = 4.443 Å, b = 4.443 Å, c = 4.443 Å
α = 127.64°, β = 117.56°, γ = 85.79°
Atoms (fractional coordinates):
Pa (0.000, 0.000, 0.000)
Re (0.500, 0.500, 0.000)
H (0.035, 0.323, 0.712)
H (0.389, 0.677, 0.712)
H (0.500, 0.000, 0.500)
H (0.611, 0.323, 0.288)
H (0.965, 0.677, 0.288)

=====

Record 2
A plane-wave DFT calculation with PBE was carried out for Pa2ReH6 after structural relaxation.

## Properties
- Space-group type: P2_1/c, No. 14
- Crystal system: monoclinic
- DOS at the Fermi energy: 8.12 states/eV/f.u.
- Total magnetic moment: 4.43 μB/cell
- Total DFT energy (no corrections): -106.19 eV for the cell shown

a = 5.413 Å, b = 4.801 Å, c = 8.323 Å
α = 90.00°, β = 120.82°, γ = 90.00°
Atoms (fractional coordinates):
Pa (0.222, 0.001, 0.241)
Pa (0.222, 0.499, 0.741)
Pa (0.778, 0.501, 0.259)
Pa (0.778, 0.999, 0.759)
Re (0.500, 0.000, 0.000)
Re (0.500, 0.500, 0.500)
H (0.238, 0.245, 0.995)
H (0.238, 0.255, 0.495)
H (0.240, 0.501, 0.249)
H (0.240, 0.999, 0.749)
H (0.244, 0.749, 0.498)
H (0.244, 0.751, 0.998)
H (0.756, 0.249, 0.002)
H (0.756, 0.251, 0.502)
H (0.760, 0.001, 0.251)
H (0.760, 0.499, 0.751)
H (0.762, 0.745, 0.505)
H (0.762, 0.755, 0.005)

=====

Record 3
A plane-wave DFT calculation with PBE was carried out for Pa2HRh6 after structural relaxation.

## Properties
- Space-group type: Fm-3m, No. 225
- Crystal system: cubic
- DOS at the Fermi energy: 8.37 states/eV/f.u.
- Total magnetic moment: 0.00 μB/cell
- Total DFT energy (no corrections): -73.74 eV for the cell shown

a = 5.768 Å, b = 5.768 Å, c = 5.768 Å
α = 60.00°, β = 60.00°, γ = 60.00°
Atoms (fractional coordinates):
Pa (0.250, 0.250, 0.250)
Pa (0.750, 0.750, 0.750)
H (0.000, 0.000, 0.000)
Rh (0.251, 0.251, 0.749)
Rh (0.251, 0.749, 0.251)
Rh (0.251, 0.749, 0.749)
Rh (0.749, 0.251, 0.251)
Rh (0.749, 0.251, 0.749)
Rh (0.749, 0.749, 0.251)

=====

Record 4
A plane-wave DFT calculation with PBE was carried out for PaH7Rh2 after structural relaxation.

## Properties
- Space-group type: Cmmm, No. 65
- Crystal system: orthorhombic
- DOS at the Fermi energy: 4.33 states/eV/f.u.
- Total magnetic moment: 0.73 μB/cell
- Total DFT energy (no corrections): -49.39 eV for the cell shown

a = 5.277 Å, b = 5.277 Å, c = 3.529 Å
α = 90.00°, β = 90.00°, γ = 123.45°
Atoms (fractional coordinates):
Pa (0.000, 0.000, 0.000)
H (0.032, 0.300, 0.500)
H (0.300, 0.032, 0.500)
H (0.326, 0.674, 0.000)
H (0.500, 0.500, 0.500)
H (0.674, 0.326, 0.000)
H (0.700, 0.968, 0.500)
H (0.968, 0.700, 0.500)
Rh (0.319, 0.681, 0.500)
Rh (0.681, 0.319, 0.500)

=====

Record 5
A plane-wave DFT calculation with PBE was carried out for PaH4Rh after structural relaxation.

## Properties
- Space-group type: Immm, No. 71
- Crystal system: orthorhombic
- DOS at the Fermi energy: 3.14 states/eV/f.u.
- Total magnetic moment: 0.10 μB/cell
- Total DFT energy (no corrections): -32.11 eV for the cell shown

a = 4.344 Å, b = 4.344 Å, c = 4.344 Å
α = 125.13°, β = 119.48°, γ = 86.12°
Atoms (fractional coordinates):
Pa (0.000, 0.000, 0.000)
H (0.027, 0.320, 0.706)
H (0.386, 0.680, 0.706)
H (0.614, 0.320, 0.294)
H (0.973, 0.680, 0.294)
Rh (0.500, 0.500, 0.000)

=====

Record 6
A plane-wave DFT calculation with PBE was carried out for PaH8Rh2 after structural relaxation.

## Properties
- Space-group type: C2/m, No. 12
- Crystal system: monoclinic
- DOS at the Fermi energy: 4.14 states/eV/f.u.
- Total magnetic moment: 0.00 μB/cell
- Total DFT energy (no corrections): -51.65 eV for the cell shown

a = 4.274 Å, b = 4.274 Å, c = 5.678 Å
α = 102.82°, β = 102.82°, γ = 99.69°
Atoms (fractional coordinates):
Pa (0.000, 0.000, 0.000)
H (0.167, 0.167, 0.703)
H (0.244, 0.750, 0.730)
H (0.250, 0.756, 0.270)
H (0.308, 0.308, 0.427)
H (0.692, 0.692, 0.573)
H (0.750, 0.244, 0.730)
H (0.756, 0.250, 0.270)
H (0.833, 0.833, 0.297)
Rh (0.495, 0.495, 0.756)
Rh (0.505, 0.505, 0.244)